1.
Entry from OQMD: an optimized crystal structure of Al6Zn (PBE).

VASP energy: -3.30 eV per atom
density: 3.18 g/cm3
crystal system: orthorhombic

a b c (Å): 7.9925 6.2170 9.5528
angles (deg): 90.00 90.00 90.00
Space group Cmcm (No. 63)
Inequivalent atoms, fractional coordinates:
Al (0.0000, 0.1485, 0.1031)
Al (0.1896, 0.1666, 0.7500)
Al (0.1905, 0.5000, 0.0000)
Zn (0.0000, 0.4960, 0.7500)

2.
Entry from OQMD: an optimized crystal structure of Al2Zn (PBE).

VASP energy: -2.53 eV per atom
density: 3.32 g/cm3
crystal system: tetragonal

a b c (Å): 5.3924 5.3924 4.1088
angles (deg): 90.00 90.00 90.00
Space group P4_2/mnm (No. 136)
Inequivalent atoms, fractional coordinates:
Al (0.1840, 0.1840, 0.0000)
Zn (0.0000, 0.0000, 0.5000)

3.
Entry from OQMD: an optimized crystal structure of Zr3Al2Zn2 (PBE).

VASP energy: -5.18 eV per atom
density: 5.31 g/cm3
crystal system: trigonal

a b c (Å): 4.6343 4.6343 23.1225
angles (deg): 90.00 90.00 120.00
Space group R3m (No. 160, hexagonal axes)
Inequivalent atoms, fractional coordinates:
Zr (0.0000, 0.0000, 0.0000)
Zr (0.0000, 0.0000, 0.2462)
Zr (0.0000, 0.0000, 0.4934)
Al (0.0000, 0.0000, 0.1194)
Al (0.0000, 0.0000, 0.6254)
Zn (0.0000, 0.0000, 0.3750)
Zn (0.0000, 0.0000, 0.8643)

4.
Entry from OQMD: an optimized crystal structure of ZrAlZn2 (PBE).

VASP energy: -3.75 eV per atom
density: 6.08 g/cm3
crystal system: cubic

a b c (Å): 6.4786 6.4786 6.4786
angles (deg): 90.00 90.00 90.00
Space group F-43m (No. 216)
Inequivalent atoms, fractional coordinates:
Zr (0.0000, 0.0000, 0.0000)
Al (0.2500, 0.2500, 0.7500)
Zn (0.0000, 0.0000, 0.5000)
Zn (0.2500, 0.2500, 0.2500)